# 1
{
  "formula": "TbY4Tm",
  "functional": "PBE-GGA",
  "state": "relaxed",
  "total_energy_ev_per_atom": -5.75,
  "n_ef_per_ev_fu": 11.6,
  "e_form_ev_per_atom": 0.0723,
  "relative_energy_mev_per_atom": 0.0,
  "rho_g_cm3": 5.95,
  "lattice_angstrom": [[-3.064, -7.795, 4.912], [5.260, -1.984, 0.132], [-4.142, 5.340, 5.891]],
  "species": ["Tb", "Tb", "Y", "Y", "Y", "Y", "Y", "Y", "Y", "Y", "Tm", "Tm"],
  "frac_coords": [[0.000, 0.500, 0.500], [0.500, 0.000, 0.500], [0.161, 0.748, 0.248], [0.339, 0.248, 0.248], [0.828, 0.747, 0.248], [0.328, 0.753, 0.752], [0.672, 0.247, 0.248], [0.172, 0.253, 0.752], [0.661, 0.752, 0.752], [0.839, 0.252, 0.752], [0.500, 0.500, 0.000], [0.000, 0.000, 0.000]]
}

***

# 2
{
  "formula": "CaCoHg2",
  "functional": "PBE-GGA",
  "state": "relaxed",
  "total_energy_ev_per_atom": -2.33,
  "n_ef_per_ev_fu": 4.2,
  "e_form_ev_per_atom": 0.0935,
  "rho_g_cm3": 9.14,
  "lattice_angstrom": [[-2.217, 0.106, -3.503], [2.976, -1.653, -1.933], [-0.575, -5.902, 0.185]],
  "species": ["Ca", "Co", "Hg", "Hg"],
  "frac_coords": [[0.000, 0.536, 0.552], [0.500, 0.954, 0.716], [0.000, 0.815, 0.994], [0.500, 0.194, 0.239]]
}

***

# 3
{
  "formula": "Pm4In3Ni",
  "functional": "PBE-GGA",
  "state": "relaxed",
  "total_energy_ev_per_atom": -4.49,
  "n_ef_per_ev_fu": 7.7,
  "e_form_ev_per_atom": -0.3672,
  "relative_energy_mev_per_atom": 58.3,
  "rho_g_cm3": 7.29,
  "lattice_angstrom": [[3.970, 0.000, 0.000], [0.000, 4.785, 0.000], [0.000, 0.000, 11.790]],
  "species": ["Pm", "Pm", "Pm", "Pm", "In", "In", "In", "Ni"],
  "frac_coords": [[0.500, 0.500, 0.324], [0.000, 0.500, 0.881], [0.000, 0.000, 0.143], [0.500, 0.000, 0.656], [0.000, 0.500, 0.577], [0.000, 0.000, 0.420], [0.500, 0.000, 0.931], [0.500, 0.500, 0.068]]
}

***

# 4
{
  "formula": "CuHg2Mo",
  "functional": "PBE-GGA",
  "state": "relaxed",
  "total_energy_ev_per_atom": -3.25,
  "n_ef_per_ev_fu": 2.0,
  "e_form_ev_per_atom": 0.6372,
  "relative_energy_mev_per_atom": 232.4,
  "rho_g_cm3": 12.83,
  "lattice_angstrom": [[-2.212, 0.492, 4.097], [-4.460, -1.358, 0.430], [-1.061, -3.777, 2.556]],
  "species": ["Mo", "Hg", "Hg", "Cu"],
  "frac_coords": [[0.500, 0.500, 0.500], [0.250, 0.250, 0.250], [0.750, 0.750, 0.750], [0.000, 0.000, 0.000]]
}

***

Number 4 is which compound?
CuHg2Mo

***

Number 1 is which compound?
TbY4Tm